A relaxed structure of Sm2Bi, computed with PBE-GGA.

Summary:
DFT total energy (eV/cell): -61.8
Volume (Å³/cell): 373.1

Cell and atoms, written as CIF:
```
data_Sm2Bi
_space_group_name_H-M_alt 'I 4/m m m'
_space_group_IT_number 139
_space_group_name_Hall '-I 4 2'
_cell_length_a 4.576
_cell_length_b 4.576
_cell_length_c 17.822
_cell_angle_alpha 90.00
_cell_angle_beta 90.00
_cell_angle_gamma 90.00
loop_
_atom_site_label
_atom_site_type_symbol
_atom_site_fract_x
_atom_site_fract_y
_atom_site_fract_z
Sm1 Sm 0.000 0.000 0.178
Sm2 Sm 0.000 0.500 0.000
Bi1 Bi 0.000 0.000 0.360
```